P) Cd2SiSb: relaxed, PBE. Values from VASP.

```
&SYSTEM
  ibrav = 0, nat = 4, ntyp = 3
/
ATOMIC_SPECIES
Sb 121.76 Sb.upf
Cd 112.41 Cd.upf
Si 28.09 Si.upf
CELL_PARAMETERS angstrom
3.103 -0.025 0.000
-1.030 2.927 0.000
0.000 0.000 10.159
ATOMIC_POSITIONS crystal
Sb 0.000 0.000 0.526
Cd 0.500 0.500 0.239
Cd 0.000 0.000 0.984
Si 0.500 0.500 0.752
```

Results
Its symmetry is Cmm2 (35).

Q) Cd2SiSb: relaxed, PBE. Values from VASP.

```
&SYSTEM
  ibrav = 0, nat = 4, ntyp = 3
/
ATOMIC_SPECIES
Si 28.09 Si.upf
Cd 112.41 Cd.upf
Sb 121.76 Sb.upf
CELL_PARAMETERS angstrom
-1.208 -3.863 1.505
2.523 0.559 3.459
-3.747 2.104 2.392
ATOMIC_POSITIONS crystal
Si 0.000 0.500 0.500
Cd 0.500 0.500 0.000
Cd 0.000 0.000 0.000
Sb 0.500 0.000 0.500
```

Results
Its symmetry is P4/mmm (123).

Energies, relative to the best one, in kJ/mol of atoms: P) 0.0; Q) 1.0.

P) Cd2SiSb: relaxed, PBE. Values from VASP.

```
&SYSTEM
  ibrav = 0, nat = 4, ntyp = 3
/
ATOMIC_SPECIES
Cd 112.41 Cd.upf
Si 28.09 Si.upf
Sb 121.76 Sb.upf
CELL_PARAMETERS angstrom
5.489 0.000 0.000
0.000 3.137 -0.099
0.000 -0.275 5.338
ATOMIC_POSITIONS crystal
Cd 0.000 0.001 0.991
Cd 0.000 0.499 0.509
Si 0.500 0.750 0.750
Sb 0.500 0.250 0.250
```

Results
Its symmetry is P2/m (10).

Q) Cd2SiSb: relaxed, PBE. Values from VASP.

```
&SYSTEM
  ibrav = 0, nat = 4, ntyp = 3
/
ATOMIC_SPECIES
Sb 121.76 Sb.upf
Si 28.09 Si.upf
Cd 112.41 Cd.upf
CELL_PARAMETERS angstrom
5.063 0.000 0.000
2.531 4.385 0.000
2.531 1.462 4.134
ATOMIC_POSITIONS crystal
Sb 0.500 0.500 0.500
Si 0.750 0.750 0.750
Cd 0.000 0.000 0.000
Cd 0.250 0.250 0.250
```

Results
Its symmetry is F-43m (216).

Energies, relative to the best one, in kJ/mol of atoms: P) 0.0; Q) 2.6.

P) CdSi2Sb: relaxed, PBE. Values from VASP.

```
&SYSTEM
  ibrav = 0, nat = 4, ntyp = 3
/
ATOMIC_SPECIES
Si 28.09 Si.upf
Cd 112.41 Cd.upf
Sb 121.76 Sb.upf
CELL_PARAMETERS angstrom
-7.272 6.019 0.952
-8.680 3.294 1.956
-6.942 5.067 4.019
ATOMIC_POSITIONS crystal
Si 0.503 0.503 0.503
Si 0.997 0.997 0.997
Cd 0.250 0.250 0.250
Sb 0.750 0.750 0.750
```

Results
Its symmetry is R-3m (166).

Q) CdSi2Sb: relaxed, PBE. Values from VASP.

```
&SYSTEM
  ibrav = 0, nat = 4, ntyp = 3
/
ATOMIC_SPECIES
Cd 112.41 Cd.upf
Si 28.09 Si.upf
Sb 121.76 Sb.upf
CELL_PARAMETERS angstrom
-5.298 -0.777 0.673
-0.737 0.230 -5.341
-0.074 -2.915 -0.545
ATOMIC_POSITIONS crystal
Cd 0.500 0.000 0.500
Si 0.000 0.000 0.000
Si 0.500 0.500 0.000
Sb 0.000 0.500 0.500
```

Results
Its symmetry is C2/m (12).

R) CdSi2Sb: relaxed, PBE. Values from VASP.

```
&SYSTEM
  ibrav = 0, nat = 8, ntyp = 3
/
ATOMIC_SPECIES
Cd 112.41 Cd.upf
Sb 121.76 Sb.upf
Si 28.09 Si.upf
CELL_PARAMETERS angstrom
6.147 0.000 0.000
0.000 6.147 0.000
3.074 3.074 5.892
ATOMIC_POSITIONS crystal
Cd 0.250 0.750 0.500
Cd 0.500 0.500 0.000
Sb 0.000 0.000 0.000
Sb 0.750 0.250 0.500
Si 0.129 0.625 0.250
Si 0.375 0.379 0.750
Si 0.621 0.125 0.250
Si 0.875 0.871 0.750
```

Results
Its symmetry is I-42d (122).

Energies, relative to the best one, in kJ/mol of atoms: P) 17.2; Q) 11.8; R) 0.0.

P) CdSi2Sb: relaxed, PBE. Values from VASP.

```
&SYSTEM
  ibrav = 0, nat = 4, ntyp = 3
/
ATOMIC_SPECIES
Cd 112.41 Cd.upf
Si 28.09 Si.upf
Sb 121.76 Sb.upf
CELL_PARAMETERS angstrom
-3.801 2.754 -3.352
-5.631 -1.073 0.638
4.531 1.298 3.324
ATOMIC_POSITIONS crystal
Cd 0.500 0.500 0.000
Si 0.000 0.000 0.000
Si 0.250 0.750 0.500
Sb 0.750 0.250 0.500
```

Results
Its symmetry is I-4m2 (119).

Q) CdSi2Sb: relaxed, PBE. Values from VASP.

```
&SYSTEM
  ibrav = 0, nat = 4, ntyp = 3
/
ATOMIC_SPECIES
Si 28.09 Si.upf
Cd 112.41 Cd.upf
Sb 121.76 Sb.upf
CELL_PARAMETERS angstrom
-0.780 0.628 3.204
-1.122 -3.145 0.344
6.890 -2.227 2.114
ATOMIC_POSITIONS crystal
Si 0.500 0.500 0.173
Si 0.000 0.000 0.077
Cd 0.000 0.000 0.465
Sb 0.500 0.500 0.784
```

Results
Its symmetry is P4mm (99).

Energies, relative to the best one, in kJ/mol of atoms: P) 18.5; Q) 0.0.

P) CdSi2Sb: relaxed, PBE. Values from VASP.

```
&SYSTEM
  ibrav = 0, nat = 4, ntyp = 3
/
ATOMIC_SPECIES
Cd 112.41 Cd.upf
Si 28.09 Si.upf
Sb 121.76 Sb.upf
CELL_PARAMETERS angstrom
-3.086 1.339 -1.983
-0.199 -2.573 -1.428
-4.547 -2.602 5.320
ATOMIC_POSITIONS crystal
Cd 0.500 0.250 0.250
Si 0.000 0.750 0.015
Si 0.000 0.750 0.485
Sb 0.500 0.750 0.750
```

Results
Its symmetry is Pmmm (47).

Q) CdSi2Sb: relaxed, PBE. Values from VASP.

```
&SYSTEM
  ibrav = 0, nat = 4, ntyp = 3
/
ATOMIC_SPECIES
Sb 121.76 Sb.upf
Si 28.09 Si.upf
Cd 112.41 Cd.upf
CELL_PARAMETERS angstrom
3.338 -1.947 -3.015
1.810 -4.464 0.903
-1.211 -3.767 -2.893
ATOMIC_POSITIONS crystal
Sb 0.500 0.500 0.500
Si 0.750 0.750 0.750
Si 0.250 0.250 0.250
Cd 0.000 0.000 0.000
```

Results
Its symmetry is Fm-3m (225).

R) CdSi2Sb: relaxed, PBE. Values from VASP.

```
&SYSTEM
  ibrav = 0, nat = 4, ntyp = 3
/
ATOMIC_SPECIES
Si 28.09 Si.upf
Sb 121.76 Sb.upf
Cd 112.41 Cd.upf
CELL_PARAMETERS angstrom
-4.449 0.688 -3.298
-4.470 -2.944 1.582
3.569 3.827 1.942
ATOMIC_POSITIONS crystal
Si 0.010 0.010 0.000
Si 0.490 0.490 0.000
Sb 0.250 0.750 0.500
Cd 0.750 0.250 0.500
```

Results
Its symmetry is Immm (71).

S) CdSi2Sb: relaxed, PBE. Values from VASP.

```
&SYSTEM
  ibrav = 0, nat = 4, ntyp = 3
/
ATOMIC_SPECIES
Si 28.09 Si.upf
Cd 112.41 Cd.upf
Sb 121.76 Sb.upf
CELL_PARAMETERS angstrom
7.233 -0.134 -0.081
6.295 3.565 -0.081
6.295 1.596 3.188
ATOMIC_POSITIONS crystal
Si 0.267 0.267 0.267
Si 0.985 0.985 0.985
Cd 0.510 0.510 0.510
Sb 0.738 0.738 0.738
```

Results
Its symmetry is R3m (160).

Energies, relative to the best one, in kJ/mol of atoms: P) 17.7; Q) 31.1; R) 30.4; S) 0.0.

P) CdSi2Sb: relaxed, PBE. Values from VASP.

```
&SYSTEM
  ibrav = 0, nat = 4, ntyp = 3
/
ATOMIC_SPECIES
Si 28.09 Si.upf
Cd 112.41 Cd.upf
Sb 121.76 Sb.upf
CELL_PARAMETERS angstrom
-1.790 -1.641 1.852
2.580 -0.063 1.633
-2.524 7.585 4.280
ATOMIC_POSITIONS crystal
Si 0.000 0.000 0.486
Si 0.000 0.000 0.014
Cd 0.500 0.500 0.250
Sb 0.500 0.500 0.750
```

Results
Its symmetry is Cmmm (65).

Q) CdSi2Sb: relaxed, PBE. Values from VASP.

```
&SYSTEM
  ibrav = 0, nat = 4, ntyp = 3
/
ATOMIC_SPECIES
Si 28.09 Si.upf
Sb 121.76 Sb.upf
Cd 112.41 Cd.upf
CELL_PARAMETERS angstrom
3.976 -0.014 -0.009
1.983 3.446 -0.009
1.968 1.133 6.439
ATOMIC_POSITIONS crystal
Si 0.001 0.001 0.998
Si 0.499 0.499 0.502
Sb 0.750 0.750 0.750
Cd 0.250 0.250 0.250
```

Results
Its symmetry is C2/m (12).

R) CdSi2Sb: relaxed, PBE. Values from VASP.

```
&SYSTEM
  ibrav = 0, nat = 4, ntyp = 3
/
ATOMIC_SPECIES
Sb 121.76 Sb.upf
Cd 112.41 Cd.upf
Si 28.09 Si.upf
CELL_PARAMETERS angstrom
3.715 0.000 0.000
0.000 3.715 0.000
0.000 0.000 6.104
ATOMIC_POSITIONS crystal
Sb 0.500 0.500 0.750
Cd 0.500 0.500 0.250
Si 0.000 0.000 0.457
Si 0.000 0.000 0.043
```

Results
Its symmetry is P4/mmm (123).

S) CdSi2Sb: relaxed, PBE. Values from VASP.

```
&SYSTEM
  ibrav = 0, nat = 4, ntyp = 3
/
ATOMIC_SPECIES
Si 28.09 Si.upf
Cd 112.41 Cd.upf
Sb 121.76 Sb.upf
CELL_PARAMETERS angstrom
3.717 0.000 0.000
0.000 5.060 0.120
0.000 1.973 4.661
ATOMIC_POSITIONS crystal
Si 0.000 0.031 0.031
Si 0.500 0.214 0.214
Cd 0.000 0.477 0.477
Sb 0.500 0.778 0.778
```

Results
Its symmetry is Amm2 (38).

Energies, relative to the best one, in kJ/mol of atoms: P) 25.0; Q) 10.9; R) 22.8; S) 0.0.

P) CdSi2Sb: relaxed, PBE. Values from VASP.

```
&SYSTEM
  ibrav = 0, nat = 4, ntyp = 3
/
ATOMIC_SPECIES
Si 28.09 Si.upf
Sb 121.76 Sb.upf
Cd 112.41 Cd.upf
CELL_PARAMETERS angstrom
3.874 0.000 0.000
0.000 4.639 0.000
0.000 0.000 4.639
ATOMIC_POSITIONS crystal
Si 0.000 0.500 0.500
Si 0.000 0.000 0.000
Sb 0.500 0.000 0.500
Cd 0.500 0.500 0.000
```

Results
Its symmetry is P4/mmm (123).

Q) CdSi2Sb: relaxed, PBE. Values from VASP.

```
&SYSTEM
  ibrav = 0, nat = 4, ntyp = 3
/
ATOMIC_SPECIES
Sb 121.76 Sb.upf
Si 28.09 Si.upf
Cd 112.41 Cd.upf
CELL_PARAMETERS angstrom
6.718 0.041 -0.008
4.532 4.959 0.008
-5.498 -2.785 2.673
ATOMIC_POSITIONS crystal
Sb 0.222 0.722 0.500
Si 0.809 0.309 0.500
Si 0.942 0.942 0.000
Cd 0.528 0.528 0.000
```

Results
Its symmetry is Imm2 (44).

Energies, relative to the best one, in kJ/mol of atoms: P) 16.0; Q) 0.0.

P) Cd2Si2Sb: relaxed, PBE. Values from VASP.

```
&SYSTEM
  ibrav = 0, nat = 5, ntyp = 3
/
ATOMIC_SPECIES
Si 28.09 Si.upf
Cd 112.41 Cd.upf
Sb 121.76 Sb.upf
CELL_PARAMETERS angstrom
-4.211 -0.094 1.634
1.368 -2.677 3.373
-0.327 3.050 5.579
ATOMIC_POSITIONS crystal
Si 0.605 0.605 0.791
Si 0.395 0.395 0.209
Cd 0.750 0.250 0.500
Cd 0.250 0.750 0.500
Sb 0.000 0.000 0.000
```

Results
Its symmetry is I4/mmm (139).

Q) Cd2Si2Sb: relaxed, PBE. Values from VASP.

```
&SYSTEM
  ibrav = 0, nat = 5, ntyp = 3
/
ATOMIC_SPECIES
Si 28.09 Si.upf
Cd 112.41 Cd.upf
Sb 121.76 Sb.upf
CELL_PARAMETERS angstrom
-3.075 -0.086 1.637
-1.156 -2.355 -2.294
0.933 -7.951 5.045
ATOMIC_POSITIONS crystal
Si 0.250 0.750 0.500
Si 0.750 0.250 0.500
Cd 0.615 0.615 0.770
Cd 0.385 0.385 0.230
Sb 0.000 0.000 0.000
```

Results
Its symmetry is I4/mmm (139).

Energies, relative to the best one, in kJ/mol of atoms: P) 11.7; Q) 0.0.

P) SmCdSb2: relaxed, PBE. Values from VASP.

```
&SYSTEM
  ibrav = 0, nat = 8, ntyp = 3
/
ATOMIC_SPECIES
Sb 121.76 Sb.upf
Cd 112.41 Cd.upf
Sm 150.36 Sm.upf
CELL_PARAMETERS angstrom
4.406 0.000 0.000
0.000 4.406 0.000
0.000 0.000 11.072
ATOMIC_POSITIONS crystal
Sb 0.000 0.500 0.796
Sb 0.500 0.500 0.500
Sb 0.500 0.000 0.204
Sb 0.000 0.000 0.500
Cd 0.000 0.000 0.000
Cd 0.500 0.500 0.000
Sm 0.000 0.500 0.279
Sm 0.500 0.000 0.721
```

Results
Its symmetry is P4/nmm (129).

Q) SmCdSb2: relaxed, PBE. Values from VASP.

```
&SYSTEM
  ibrav = 0, nat = 4, ntyp = 3
/
ATOMIC_SPECIES
Sb 121.76 Sb.upf
Cd 112.41 Cd.upf
Sm 150.36 Sm.upf
CELL_PARAMETERS angstrom
4.505 0.000 0.000
2.253 3.902 0.000
2.253 1.301 6.854
ATOMIC_POSITIONS crystal
Sb 0.746 0.746 0.761
Sb 0.254 0.254 0.239
Cd 0.000 0.000 0.000
Sm 0.500 0.500 0.500
```

Results
Its symmetry is R-3m (166).

Energies, relative to the best one, in kJ/mol of atoms: P) 0.0; Q) 19.3.

P) Cd2SnSb: relaxed, PBE. Values from VASP.

```
&SYSTEM
  ibrav = 0, nat = 8, ntyp = 3
/
ATOMIC_SPECIES
Sb 121.76 Sb.upf
Cd 112.41 Cd.upf
Sn 118.71 Sn.upf
CELL_PARAMETERS angstrom
8.267 0.000 0.000
0.000 8.267 0.000
4.134 4.134 3.134
ATOMIC_POSITIONS crystal
Sb 0.000 0.000 0.000
Sb 0.750 0.250 0.500
Cd 0.875 0.883 0.750
Cd 0.375 0.367 0.750
Cd 0.117 0.625 0.250
Cd 0.633 0.125 0.250
Sn 0.500 0.500 0.000
Sn 0.250 0.750 0.500
```

Results
Its symmetry is I-42d (122).

Q) Cd2SnSb: relaxed, PBE. Values from VASP.

```
&SYSTEM
  ibrav = 0, nat = 4, ntyp = 3
/
ATOMIC_SPECIES
Sn 118.71 Sn.upf
Cd 112.41 Cd.upf
Sb 121.76 Sb.upf
CELL_PARAMETERS angstrom
5.272 0.000 0.000
2.636 4.565 0.000
2.636 1.522 4.304
ATOMIC_POSITIONS crystal
Sn 0.500 0.500 0.500
Cd 0.250 0.250 0.250
Cd 0.750 0.750 0.750
Sb 0.000 0.000 0.000
```

Results
Its symmetry is Fm-3m (225).

Energies, relative to the best one, in kJ/mol of atoms: P) 0.0; Q) 3.7.

P) CdSn2Sb2: relaxed, PBE. Values from VASP.

```
&SYSTEM
  ibrav = 0, nat = 5, ntyp = 3
/
ATOMIC_SPECIES
Sn 118.71 Sn.upf
Cd 112.41 Cd.upf
Sb 121.76 Sb.upf
CELL_PARAMETERS angstrom
-5.315 0.995 -2.184
-0.853 -5.743 -0.540
-4.879 -2.512 2.944
ATOMIC_POSITIONS crystal
Sn 0.250 0.750 0.500
Sn 0.750 0.250 0.500
Cd 0.000 0.000 0.000
Sb 0.344 0.344 0.312
Sb 0.656 0.656 0.688
```

Results
Its symmetry is I4/mmm (139).

Q) CdSn2Sb2: relaxed, PBE. Values from VASP.

```
&SYSTEM
  ibrav = 0, nat = 10, ntyp = 3
/
ATOMIC_SPECIES
Cd 112.41 Cd.upf
Sn 118.71 Sn.upf
Sb 121.76 Sb.upf
CELL_PARAMETERS angstrom
-3.674 6.531 -4.106
3.242 -2.819 -7.385
-3.218 -2.176 -0.582
ATOMIC_POSITIONS crystal
Cd 0.000 0.000 0.000
Cd 0.500 0.500 0.000
Sn 0.143 0.643 0.500
Sn 0.643 0.857 0.500
Sn 0.357 0.143 0.500
Sn 0.857 0.357 0.500
Sb 0.344 0.844 0.000
Sb 0.844 0.656 0.000
Sb 0.156 0.344 0.000
Sb 0.656 0.156 0.000
```

Results
Its symmetry is P4/mbm (127).

Energies, relative to the best one, in kJ/mol of atoms: P) 4.1; Q) 0.0.

P) CdSn2Sb2: relaxed, PBE. Values from VASP.

```
&SYSTEM
  ibrav = 0, nat = 5, ntyp = 3
/
ATOMIC_SPECIES
Sn 118.71 Sn.upf
Cd 112.41 Cd.upf
Sb 121.76 Sb.upf
CELL_PARAMETERS angstrom
4.654 0.000 0.000
0.000 4.654 0.000
2.327 2.327 7.445
ATOMIC_POSITIONS crystal
Sn 0.608 0.608 0.783
Sn 0.392 0.392 0.217
Cd 0.000 0.000 0.000
Sb 0.750 0.250 0.500
Sb 0.250 0.750 0.500
```

Results
Its symmetry is I4/mmm (139).

Q) CdSn2Sb2: relaxed, PBE. Values from VASP.

```
&SYSTEM
  ibrav = 0, nat = 5, ntyp = 3
/
ATOMIC_SPECIES
Sb 121.76 Sb.upf
Sn 118.71 Sn.upf
Cd 112.41 Cd.upf
CELL_PARAMETERS angstrom
4.269 0.309 0.783
-2.073 6.149 0.843
0.583 1.770 6.001
ATOMIC_POSITIONS crystal
Sb 0.490 0.488 0.771
Sb 0.510 0.512 0.229
Sn 0.764 0.170 0.549
Sn 0.236 0.830 0.451
Cd 0.000 0.000 0.000
```

Results
Its symmetry is P-1 (2).

Energies, relative to the best one, in kJ/mol of atoms: P) 9.6; Q) 0.0.